(1)
VASP calculation (GGA-PBE) on a geometry-optimized TaCuSiHg structure.

Output
Electronic total energy in eV/atom: -4.516
Theoretical density in g/cm³: 11.34
M_tot in μB/f.u.: 1.15
Energy above the lowest structure with this stoichiometry in meV/atom: 336.4

Cell and atoms, written as extended XYZ:
```
4
Lattice="-2.210 -3.517 2.000 0.643 -0.878 4.480 -3.385 0.823 3.019" Properties=species:S:1:pos:R:3 pbc="T T T"
Cu -3.715 -2.679 7.124
Hg -1.238 -0.893 2.375
Si 0.000 0.000 0.000
Ta -2.477 -1.786 4.749
```

***

(2)
VASP calculation (GGA-PBE) on a geometry-optimized NaNdRe structure.

Output
Electronic total energy in eV/atom: -4.567
Theoretical density in g/cm³: 7.31
M_tot in μB/f.u.: 1.18
Energy above the lowest structure with this stoichiometry in meV/atom: 4.0

Cell and atoms, written as extended XYZ:
```
3
Lattice="-4.758 -0.661 0.608 -2.897 3.807 0.749 -3.099 1.399 -3.448" Properties=species:S:1:pos:R:3 pbc="T T T"
Na -2.689 1.136 -0.523
Nd 0.000 0.000 0.000
Re -8.066 3.409 -1.568
```

***

Copy entry 2 word for word.
VASP calculation (GGA-PBE) on a geometry-optimized NaNdRe structure.

Output
Electronic total energy in eV/atom: -4.567
Theoretical density in g/cm³: 7.31
M_tot in μB/f.u.: 1.18
Energy above the lowest structure with this stoichiometry in meV/atom: 4.0

Cell and atoms, written as extended XYZ:
```
3
Lattice="-4.758 -0.661 0.608 -2.897 3.807 0.749 -3.099 1.399 -3.448" Properties=species:S:1:pos:R:3 pbc="T T T"
Na -2.689 1.136 -0.523
Nd 0.000 0.000 0.000
Re -8.066 3.409 -1.568
```

***

The highest theoretical density belongs to which entry?
TaCuSiHg

***

Please write out number 2 again, unchanged.
VASP calculation (GGA-PBE) on a geometry-optimized NaNdRe structure.

Output
Electronic total energy in eV/atom: -4.567
Theoretical density in g/cm³: 7.31
M_tot in μB/f.u.: 1.18
Energy above the lowest structure with this stoichiometry in meV/atom: 4.0

Cell and atoms, written as extended XYZ:
```
3
Lattice="-4.758 -0.661 0.608 -2.897 3.807 0.749 -3.099 1.399 -3.448" Properties=species:S:1:pos:R:3 pbc="T T T"
Na -2.689 1.136 -0.523
Nd 0.000 0.000 0.000
Re -8.066 3.409 -1.568
```